Material: V7Cr3Os2
Method: DFT, PBE
State: relaxed

Structure (POSCAR):
```
V7Cr3Os2
1.0
2.116 -10.117 0.000
2.116 10.117 0.000
0.000 0.000 4.024
V Cr Os
7 3 2
Direct
0.000 0.000 0.000 V
0.075 0.925 0.500 V
0.286 0.714 0.000 V
0.428 0.572 0.000 V
0.572 0.428 0.000 V
0.714 0.286 0.000 V
0.925 0.075 0.500 V
0.354 0.646 0.500 Cr
0.500 0.500 0.500 Cr
0.646 0.354 0.500 Cr
0.149 0.851 0.000 Os
0.851 0.149 0.000 Os
```

Output
- E_form: 0.194 eV per atom
- Space group: Cmmm (65)
- VASP energy: -112.83 eV per cell